GGA-PBE NbCoPS2, optimized geometry; relative energy among the computed polymorphs = 0 meV/atom; final energy = -5.785 eV per atom; total magnetic moment = 0.00 μB per formula unit
1.0
4.336 0.000 0.000
0.000 4.336 0.000
0.000 0.000 4.294
Nb S Co P
1 2 1 1
Direct
0.500 0.500 0.500
0.500 0.000 0.000
0.000 0.500 0.000
0.000 0.000 0.000
0.000 0.000 0.500


GGA-PBE LiNd2Cl2O2, optimized geometry; final energy = -6.075 eV per atom; total magnetic moment = 0.58 μB per formula unit
1.0
-0.876 -2.968 2.553
0.373 -0.770 -3.919
11.278 -2.059 1.477
Li O Cl Nd
1 2 2 2
Direct
0.000 0.000 0.000
0.333 0.667 0.419
0.667 0.333 0.581
0.000 0.000 0.789
0.000 0.000 0.211
0.667 0.333 0.376
0.333 0.667 0.624


GGA-PBE CaMgAu4, optimized geometry; relative energy among the computed polymorphs = 16 meV/atom; final energy = -3.317 eV per atom; formation energy = -0.532 eV per atom; total magnetic moment = 0.00 μB per formula unit
1.0
4.697 0.000 0.000
-2.349 4.068 0.000
0.000 0.000 6.694
Au Ca Mg
4 1 1
Direct
0.333 0.667 0.774
0.667 0.333 0.226
0.667 0.333 0.774
0.333 0.667 0.226
0.000 0.000 0.500
0.000 0.000 0.000


GGA-PBE TbNdGaRu, optimized geometry; relative energy among the computed polymorphs = 69 meV/atom; final energy = -5.785 eV per atom; formation energy = -0.359 eV per atom; total magnetic moment = 0.00 μB per formula unit
1.0
5.032 0.000 0.000
2.516 4.358 0.000
2.516 1.453 4.108
Ga Ru Nd Tb
1 1 1 1
Direct
0.250 0.250 0.250
0.750 0.750 0.750
0.500 0.500 0.500
0.000 0.000 0.000